# Cs2TeRuF6 PBE-GGA relaxed
# Formation energy (no corrections): -1.8796 eV/atom
# Spin magnetization: 4.0 μB/cell
# Calculated volume: 232.1 Å³/f.u.
# Crystal system: tetragonal
# Electronic total energy: -88.297 eV for the cell shown
data_Cs2TeRuF6
_symmetry_space_group_name_H-M 'I 4/m m m'
_symmetry_Int_Tables_number 139
_symmetry_space_group_name_Hall '-I 4 2'
_cell_length_a 7.404
_cell_length_b 7.404
_cell_length_c 8.466
_cell_angle_alpha 90.00
_cell_angle_beta 90.00
_cell_angle_gamma 90.00
loop_
_atom_site_label
_atom_site_fract_x
_atom_site_fract_y
_atom_site_fract_z
Cs1 0.000 0.500 0.250
Te1 0.000 0.000 0.000
Ru1 0.000 0.000 0.500
F1 0.000 0.000 0.260
F2 0.188 0.188 0.500